1.
First-principles (SCAN) data for AlSbP2 at its PBEsol-relaxed geometry, as listed in Alexandria.

Cell and atoms, written as POSCAR:
```
AlSbP2
1.0
-2.9697 0.7395 -1.2039
1.7672 -1.7698 -2.1355
-2.7228 -6.2162 2.8983
Al P Sb
1 2 1
direct
0.5000 0.5000 0.0000 Al
0.0000 0.0000 0.2126 P
0.0000 0.0000 0.7874 P
0.5000 0.5000 0.5000 Sb
```

## Properties
Raw formation energy   355.9 meV/atom
Relative energy among the computed polymorphs   0.454 eV per atom
Symmetry   Cmmm

2.
First-principles (SCAN) data for Zn3Ag at its PBEsol-relaxed geometry, as listed in Alexandria.

Cell and atoms, written as POSCAR:
```
Zn3Ag
1.0
-3.6106 -1.1754 -0.5212
0.8414 -3.3347 1.6915
0.3855 3.7749 2.9082
Zn Ag
3 1
direct
0.7500 0.2500 0.5000 Zn
0.2500 0.7500 0.5000 Zn
0.5000 0.5000 0.0000 Zn
0.0000 0.0000 0.0000 Ag
```

## Properties
Symmetry   I4/mmm
Energy relative to the elements   3 kJ/mol of formula units

3.
First-principles (SCAN) data for KRbMg3 at its PBEsol-relaxed geometry, as listed in Alexandria.

Cell and atoms, written as POSCAR:
```
KRbMg3
1.0
6.4075 0.0000 0.0000
0.0000 6.4075 0.0000
0.0000 0.0000 6.4075
Mg Rb K
3 1 1
direct
0.5000 0.0000 0.0000 Mg
0.0000 0.5000 0.0000 Mg
0.0000 0.0000 0.5000 Mg
0.5000 0.5000 0.5000 Rb
0.0000 0.0000 0.0000 K
```

## Properties
Symmetry   Pm-3m
Energy relative to the elements   339 kJ/mol of formula units

Total moment in μB per formula unit, matching the order above: 0.0 0.0 0.0
Mass density in Mg/m³, matching the order above: 4.72 8.73 1.25